# Na2Li2CoF6, optimized geometry, DFT GGA+U
# - DFT total energy (hartree per atom) = -0.1727
# - ρ (Mg/m³) = 3.081
data_Na2Li2CoF6
_chemical_formula_sum 'Na2 Li2 Co1 F6'
_cell_length_a 5.1881
_cell_length_b 5.1881
_cell_length_c 5.3817
_cell_angle_alpha 90.00
_cell_angle_beta 90.00
_cell_angle_gamma 120.00
_symmetry_space_group_name_H-M 'P -3 1 m'
_symmetry_Int_Tables_number 162
_symmetry_space_group_name_Hall '-P 3 2'
loop_
_atom_site_label
_atom_site_fract_x
_atom_site_fract_y
_atom_site_fract_z
Na1 0.3333 0.6667 0.0000
Li1 0.3333 0.6667 0.5000
Co1 0.0000 0.0000 0.5000
F1 0.0000 0.3382 0.2915